(1)
Compound: Cs3CaLa
Source: Alexandria
Functional: PBE
Structure: relaxed

Its volume is 76.81 A^3/atom. As for the formation energy: 4.6 eV per formula unit. For the total energy, the calculation gives -4.91 eV per cell. Its density of states at the Fermi level is 18.74 states/eV/f.u.

abc: 7.2687 7.2687 7.2687
angles: 90.00 90.00 90.00
Element x y z (fractional)
1 Cs 0.0000 0.5000 0.0000
2 Cs 0.0000 0.0000 0.5000
3 Cs 0.5000 0.0000 0.0000
4 Ca 0.5000 0.5000 0.5000
5 La 0.0000 0.0000 0.0000

***

(2)
Compound: InNiSeN2
Source: Alexandria
Functional: PBE
Structure: relaxed

Its volume is 20.01 A^3/atom. For the total energy, the calculation gives -19.27 eV per cell. The formation energy without anion corrections comes out at 1.876 eV per atom. Its density of states at the Fermi level is 11.55 states/eV/f.u.

abc: 4.1870 4.1870 5.7063
angles: 90.00 90.00 90.00
Site moments in Bohr magnetons follow the coordinates.
Element x y z (fractional)
1 Ni 0.5000 0.5000 0.5000  -0.23
2 N 0.0000 0.5000 0.0000  0.39
3 N 0.5000 0.0000 0.0000  0.39
4 Se 0.0000 0.0000 0.5000  -0.02
5 In 0.0000 0.0000 0.0000  0.00

***

(3)
Compound: KTaCl
Source: Alexandria
Functional: PBE
Structure: relaxed

Its volume is 25.04 A^3/atom. For the total energy, the calculation gives -11.89 eV per cell. The formation energy without anion corrections comes out at 0.969 eV per atom. Its density of states at the Fermi level is 3.97 states/eV/f.u.

abc: 5.3271 5.3271 3.0571
angles: 90.00 90.00 120.00
Site moments in Bohr magnetons follow the coordinates.
Element x y z (fractional)
1 K 0.6667 0.3333 0.3341  0.08
2 Cl 0.0000 0.0000 0.8327  0.00
3 Ta 0.3333 0.6667 0.8332  1.27

***

(4)
Compound: Sc4Se2S
Source: Alexandria
Functional: PBE
Structure: relaxed

Its volume is 21.39 A^3/atom. For the total energy, the calculation gives -46.26 eV per cell. The formation energy without anion corrections comes out at -1.406 eV per atom. Its density of states at the Fermi level is 3.23 states/eV/f.u.

abc: 3.7712 6.4893 6.4893
angles: 109.47 90.00 90.00
Element x y z (fractional)
1 Sc 0.0000 0.7595 0.2405
2 Sc 0.5000 0.7603 0.7603
3 Sc 0.5000 0.2397 0.2397
4 Sc 0.0000 0.2405 0.7595
5 Se 0.5000 0.0000 0.5000
6 Se 0.5000 0.5000 0.0000
7 S 0.0000 0.0000 0.0000

***

(5)
Compound: Pa2GaSi3Pt4
Source: Alexandria
Functional: PBE
Structure: relaxed

Its volume is 17.75 A^3/atom. For the total energy, the calculation gives -71.79 eV per cell. The formation energy without anion corrections comes out at -0.934 eV per atom. Its density of states at the Fermi level is 5.66 states/eV/f.u.

abc: 4.2356 4.2356 9.8931
angles: 90.00 90.00 90.00
Element x y z (fractional)
1 Pa 0.5000 0.0000 0.2494
2 Pa 0.0000 0.5000 0.7506
3 Ga 0.5000 0.5000 0.5000
4 Si 0.0000 0.0000 0.5000
5 Si 0.5000 0.0000 0.8704
6 Si 0.0000 0.5000 0.1296
7 Pt 0.5000 0.5000 0.0000
8 Pt 0.0000 0.0000 0.0000
9 Pt 0.5000 0.0000 0.6329
10 Pt 0.0000 0.5000 0.3671

***

(6)
Compound: Hf3PH2
Source: Alexandria
Functional: PBE
Structure: relaxed

Its volume is 14.59 A^3/atom. For the total energy, the calculation gives -90.34 eV per cell. Its density of states at the Fermi level is 2.93 states/eV/f.u.

abc: 3.3702 5.6833 9.1516
angles: 93.07 90.00 90.00
Element x y z (fractional)
1 Hf 0.7500 0.9118 0.1942
2 Hf 0.2500 0.0882 0.8058
3 Hf 0.7500 0.6472 0.8738
4 Hf 0.2500 0.3528 0.1262
5 Hf 0.2500 0.2438 0.4488
6 Hf 0.7500 0.7562 0.5512
7 P 0.2500 0.6573 0.3405
8 P 0.7500 0.3427 0.6595
9 H 0.2500 0.4297 0.9119
10 H 0.7500 0.5703 0.0881
11 H 0.7500 0.0447 0.4099
12 H 0.2500 0.9553 0.5901

***

(7)
Compound: Ba4Tl2Ag
Source: Alexandria
Functional: PBE
Structure: relaxed

Its volume is 43.04 A^3/atom. As for the formation energy: -2.0 eV per formula unit. For the total energy, the calculation gives -17.25 eV per cell. Its density of states at the Fermi level is 6.97 states/eV/f.u.

abc: 7.3174 7.3174 7.3174
angles: 111.71 108.36 108.36
Element x y z (fractional)
1 Tl 0.5000 0.5000 0.0000
2 Tl 0.5000 0.0000 0.5000
3 Ba 0.5000 0.0000 0.0000
4 Ba 0.5000 0.5000 0.5000
5 Ba 0.0000 0.0000 0.5000
6 Ba 0.0000 0.5000 0.0000
7 Ag 0.0000 0.0000 0.0000

***

(8)
Compound: Sr3RuAu
Source: Alexandria
Functional: PBE
Structure: relaxed

Its volume is 35.06 A^3/atom. As for the formation energy: 0.7 eV per formula unit. For the total energy, the calculation gives -16.90 eV per cell. Its density of states at the Fermi level is 3.66 states/eV/f.u.

abc: 5.5968 5.5968 5.5968
angles: 90.00 90.00 90.00
Element x y z (fractional)
1 Ru 0.0000 0.0000 0.0000
2 Au 0.5000 0.5000 0.5000
3 Sr 0.0000 0.5000 0.0000
4 Sr 0.0000 0.0000 0.5000
5 Sr 0.5000 0.0000 0.0000

***

(9)
Compound: Ge2Bi2Sb
Source: Alexandria
Functional: PBE
Structure: relaxed

Its volume is 27.09 A^3/atom. For the total energy, the calculation gives -20.02 eV per cell. The formation energy without anion corrections comes out at 0.220 eV per atom. Its density of states at the Fermi level is 2.58 states/eV/f.u.

abc: 3.9839 3.9839 8.9875
angles: 77.19 77.19 90.00
Element x y z (fractional)
1 Sb 0.0000 0.0000 0.0000
2 Ge 0.7500 0.2500 0.5000
3 Ge 0.2500 0.7500 0.5000
4 Bi 0.3953 0.3953 0.2094
5 Bi 0.6047 0.6047 0.7906

***

(10)
Compound: Na2CuTcPd
Source: Alexandria
Functional: PBE
Structure: relaxed

Its volume is 22.81 A^3/atom. As for the formation energy: 5.4 eV per formula unit. For the total energy, the calculation gives -16.92 eV per cell. Its density of states at the Fermi level is 4.50 states/eV/f.u.

abc: 4.8741 4.8015 4.8741
angles: 90.00 90.00 90.00
Site moments in Bohr magnetons follow the coordinates.
Element x y z (fractional)
1 Na 0.0000 0.0000 0.5000  -0.01
2 Na 0.5000 0.0000 0.0000  -0.01
3 Cu 0.0000 0.0000 0.0000  0.16
4 Tc 0.0000 0.5000 0.0000  2.73
5 Pd 0.5000 0.5000 0.5000  0.14

***

(11)
Compound: NdPaTeSe
Source: Alexandria
Functional: PBE
Structure: relaxed

Its volume is 25.38 A^3/atom. For the total energy, the calculation gives -25.04 eV per cell. The formation energy without anion corrections comes out at -1.036 eV per atom. Its density of states at the Fermi level is 5.60 states/eV/f.u.

abc: 5.2360 5.2360 5.2360
angles: 60.00 60.00 60.00
Site moments in Bohr magnetons follow the coordinates.
Element x y z (fractional)
1 Te 0.2500 0.2500 0.2500  -0.02
2 Pa 0.5000 0.5000 0.5000  0.78
3 Nd 0.0000 0.0000 0.0000  0.04
4 Se 0.7500 0.7500 0.7500  -0.02

***

(12)
Compound: Nb2MoW
Source: Alexandria
Functional: PBE
Structure: relaxed

Its volume is 17.60 A^3/atom. As for the formation energy: 1.2 eV per formula unit. For the total energy, the calculation gives -42.69 eV per cell. Its density of states at the Fermi level is 3.37 states/eV/f.u.

abc: 2.6693 5.0771 5.3854
angles: 90.92 90.00 105.24
Element x y z (fractional)
1 Nb 0.2434 0.4869 0.4997
2 Nb 0.7566 0.5131 0.0003
3 Mo 0.5000 0.0000 0.7500
4 W 0.5000 0.0000 0.2500